Entry 1:
The following is a PBE-GGA calculation of an optimized crystal structure of ZnPCl, from the Alexandria database.

The space group is I4mm (No. 107) and the conventional cell measures 2.984, 2.984 and 14.431 Å, with angles of 90.00, 90.00 and 90.00 degrees. The distinct sites, in fractional coordinates, are Zn at (0.000, 0.000, 0.000), P at (0.000, 0.000, 0.624) and Cl at (0.000, 0.000, 0.393).

The calculation puts the energy above the most stable polymorph in this dataset at 623 meV per atom.


Entry 2:
The following is a PBE-GGA calculation of an optimized crystal structure of CaDy2CuO5, from the Alexandria database.

The space group is I4/mcm (No. 140) and the conventional cell measures 6.424, 6.424 and 11.280 Å, with angles of 90.00, 90.00 and 90.00 degrees. The distinct sites, in fractional coordinates, are Ca at (0.000, 0.000, 0.250), Dy at (0.171, 0.329, 0.000), Cu at (0.000, 0.500, 0.250), O at (0.000, 0.000, 0.000) and O at (0.149, 0.351, 0.371).


| no. | formation energy (no corrections) (eV per atom) | volume (Å³ per cell) | raw total energy (eV/cell) |
| --- | --- | --- | --- |
| 1 | 0.1729 | 128.5 | -16.02 |
| 2 | -2.5853 | 465.5 | -253.44 |